Crystalline In2CuO at its relaxed geometry. Source: Alexandria, functional PBE.

Values from the calculation:
Energy relative to the elements, uncorrected, eV/atom: -0.35
E, Ha/atom: -0.146
Calculated density, Mg/m³: 6.68

Cell: 6.3324 6.3324 7.6662 Å, 90.00 90.00 90.00°
Space group I-42d (No. 122)
Unique sites:
In 0.2047 0.7500 0.1250
Cu 0.0000 0.0000 0.5000
O 0.0000 0.0000 0.0000


Crystalline YIr2Au at its relaxed geometry. Source: Alexandria, functional PBE.

Values from the calculation:
Excess energy over the best structure of this formula in the dataset, meV per atom: 313
E, Ha/atom: -0.255
Energy of formation from the pure elements, eV per atom: -0.06
Calculated density, Mg/m³: 15.18

Cell: 6.6437 6.6437 6.6437 Å, 90.00 90.00 90.00°
Space group F-43m (No. 216)
Unique sites:
Y 0.0000 0.0000 0.0000
Ir 0.0000 0.0000 0.5000
Ir 0.2500 0.2500 0.7500
Au 0.2500 0.2500 0.2500


Crystalline BaPmPuN3 at its relaxed geometry. Source: Alexandria, functional PBE.

Values from the calculation:
Energy relative to the elements, uncorrected, eV/atom: -0.80
E, Ha/atom: -0.311
Calculated density, Mg/m³: 7.51

Cell: 6.8570 3.7241 10.4166 Å, 90.00 109.10 90.00°
Space group P2_1/m (No. 11)
Unique sites:
Ba 0.2082 0.2500 0.1895
Pm 0.3348 0.2500 0.8698
Pu 0.1072 0.7500 0.5666
N 0.0098 0.2500 0.6630
N 0.2971 0.7500 0.0168
N 0.3676 0.7500 0.7082


- Look up the E of the third one.
  -0.311 Ha/atom


- Which value of E does entry 3 give?
  -0.311 Ha/atom


- What is the formula in the third record?
  BaPmPuN3